Computed, not measured: a relaxed Pu2Cu5Pd5 crystal at the PBE-GGA level of DFT.

Unit cell a=4.3607 b=5.0880 c=9.0890 alpha=90.00 beta=90.00 gamma=90.00
Last column: nearest neighbours and their distance in Å.
Positions (direct):
1 Cu 0.5000 0.5000 0.5000  4 Cu 2.55, 4 Pd 2.64
2 Pd 0.0000 0.0000 0.1783  4 Cu 2.62, 4 Pd 2.72-2.92, 1 Pu 2.92
3 Cu 0.5000 0.7496 0.7434  3 Cu 2.54-2.55, 5 Pd 2.62-2.66
4 Pu 0.0000 0.0000 0.5000  6 Pd 2.92-2.95
5 Pd 0.0000 0.5000 0.3355  6 Cu 2.62-2.64, 2 Pd 2.92
6 Pu 0.0000 0.5000 0.0000  10 Pd 3.02-3.35
7 Cu 0.5000 0.7496 0.2566  3 Cu 2.54-2.55, 5 Pd 2.62-2.66
8 Cu 0.5000 0.2504 0.7434  3 Cu 2.54-2.55, 5 Pd 2.62-2.66
9 Pd 0.0000 0.0000 0.8217  4 Cu 2.62, 4 Pd 2.72-2.92, 1 Pu 2.92
10 Pd 0.0000 0.5000 0.6645  6 Cu 2.62-2.64, 2 Pd 2.92
11 Pd 0.5000 0.0000 0.0000  4 Cu 2.66, 4 Pd 2.72
12 Cu 0.5000 0.2504 0.2566  3 Cu 2.54-2.55, 5 Pd 2.62-2.66

ΔH_f (0 K)	-3.5	eV per formula unit
calculated total energy	-6.55	eV per atom